The following is a DFT calculation (PBE-GGA) of a geometry-optimized NaPr2PdO6 structure.

Uncorrected energy, eV/atom: -6.59

```
data_NaPr2PdO6
_space_group_name_H-M_alt 'P 1'
_space_group_IT_number 1
_cell_length_a 5.580
_cell_length_b 6.038
_cell_length_c 7.990
_cell_angle_alpha 90.00
_cell_angle_beta 89.29
_cell_angle_gamma 90.00
loop_
_space_group_symop_operation_xyz
'x,y,z'
loop_
_atom_site_label
_atom_site_fract_x
_atom_site_fract_y
_atom_site_fract_z
O1 0.882 0.546 0.235
O2 0.665 0.285 0.565
O3 0.165 0.215 0.065
Na1 0.000 0.500 0.500
Pr1 0.479 0.423 0.248
O4 0.703 0.325 0.947
Pr2 0.979 0.077 0.748
Na2 0.500 0.000 0.000
O5 0.297 0.675 0.053
O6 0.835 0.785 0.935
Pd1 0.000 0.500 0.000
O7 0.382 0.954 0.735
O8 0.618 0.046 0.265
O9 0.335 0.715 0.435
Pd2 0.500 0.000 0.500
Pr3 0.521 0.577 0.752
O10 0.797 0.825 0.553
O11 0.203 0.175 0.447
O12 0.118 0.454 0.765
Pr4 0.021 0.923 0.252
```